1.
DFT (GGA-PBEsol) results for a relaxed structure of ScCr3Pd.

Lattice parameters (Å, degrees): 4.715 4.715 4.715 90.00 90.00 90.00
Space group Pm-3m (No. 221)
Inequivalent atoms, fractional coordinates:
Sc 0.000 0.000 0.000 x1
Cr 0.000 0.500 0.500 x3
Pd 0.500 0.500 0.500 x1

Output
Formation enthalpy at 0 K   125.1 kJ per mole of atoms

=====

2.
DFT (GGA-PBEsol) results for a relaxed structure of CrPdSe3.

Lattice parameters (Å, degrees): 4.849 4.849 4.849 90.00 90.00 90.00
Space group Pm-3m (No. 221)
Inequivalent atoms, fractional coordinates:
Cr 0.000 0.000 0.000 x1
Pd 0.500 0.500 0.500 x1
Se 0.000 0.500 0.500 x3

Output
Energy relative to the elements, uncorrected   2.936 eV per formula unit

=====

3.
DFT (GGA-PBEsol) results for a relaxed structure of CrSiPd3.

Lattice parameters (Å, degrees): 4.430 4.430 4.430 90.00 90.00 90.00
Space group Pm-3m (No. 221)
Inequivalent atoms, fractional coordinates:
Cr 0.000 0.000 0.000 x1
Si 0.500 0.500 0.500 x1
Pd 0.000 0.500 0.500 x3

Output
Energy relative to the elements, uncorrected   1.271 eV per formula unit